Record 1
Here is crystalline CaDyCdHg at its relaxed geometry from Alexandria via LeMat-Bulk. Energies are from PBE.

Cell and atoms, written as extended XYZ:
```
4
Lattice="-1.102 3.866 -3.477 -1.786 -1.222 -4.855 -5.045 1.034 -1.314" Properties=species:S:1:pos:R:3 pbc="T T T"
Ca 0.000 0.000 0.000
Cd -5.950 2.759 -7.235
Hg -1.983 0.920 -2.412
Dy -3.966 1.839 -4.823
```

Output
total moment = 0.00 μB per formula unit
ΔE_f = -0.431 eV/atom
space-group type = F-43m, No. 216

=====

Record 2
Here is crystalline Hf2MgBi2 at its relaxed geometry from Alexandria via LeMat-Bulk. Energies are from PBE.

Cell and atoms, written as extended XYZ:
```
10
Lattice="-2.825 -7.340 -2.036 7.430 -2.177 -2.460 0.787 -1.275 3.505" Properties=species:S:1:pos:R:3 pbc="T T T"
Mg 0.000 0.000 0.000
Mg 2.302 -4.759 -2.248
Hf 4.724 -2.999 -0.079
Hf 5.040 -7.175 -1.669
Hf 0.668 -7.793 -0.912
Hf 0.352 -3.617 0.678
Bi 5.291 -4.346 -2.769
Bi 2.507 -7.614 -3.333
Bi -0.686 -5.171 -1.727
Bi 2.097 -1.903 -1.163
```

Output
energy above the lowest structure with this stoichiometry = 0.007 eV/f.u.
total moment = 0.00 μB per formula unit
ΔE_f = 0.030 eV/atom
space-group type = P4/mbm, No. 127

=====

Record 3
Here is crystalline HoEr2ThS4 at its relaxed geometry from Alexandria via LeMat-Bulk. Energies are from PBE.

Cell and atoms, written as extended XYZ:
```
8
Lattice="-3.755 0.775 -0.615 -1.017 -6.459 -1.928 -1.658 -3.710 5.449" Properties=species:S:1:pos:R:3 pbc="T T T"
Ho -1.338 -5.085 1.760
Er -1.658 -3.710 5.449
Er -2.706 -1.468 2.417
Th -4.044 -6.552 4.177
S -2.000 -7.668 2.553
S -4.429 -1.727 0.353
S -3.070 -5.449 -0.381
S -3.360 -3.945 3.286
```

Output
total moment = 0.00 μB per formula unit
formation energy without anion corrections = -1.91 eV/atom
space-group type = P2/m, No. 10